# 1
## DyY5Ho2Sc (PBE)

Data for DyY5Ho2Sc after structural relaxation.

Cell lengths 5.5614, 20.9336, 9.8120 Å; angles 90.00, 90.00, 90.00 degrees
Last column: nearest neighbours and their distance in Å.
Space group Cmc2_1 (No. 36)
Inequivalent atoms, fractional coordinates:
1 Dy 0.0000 0.1052 0.0000 (multiplicity 4)  5 Y 3.06-3.39, 2 Sc 3.41
2 Y 0.0000 0.0185 0.3094 (multiplicity 4)  2 Dy 3.19-3.54, 2 Ho 3.42, 2 Y 3.56
3 Y 0.0000 0.1361 0.6065 (multiplicity 4)  4 Ho 3.34-3.54, 1 Y 3.40, 1 Sc 3.72
4 Y 0.0000 0.1938 0.2821 (multiplicity 4)  2 Sc 3.30, 1 Dy 3.33, 5 Y 3.40-3.68, 2 Ho 3.51
5 Y 0.0000 0.2491 0.9438 (multiplicity 4)  1 Dy 3.06, 1 Ho 3.08, 2 Y 3.42
6 Y 0.0000 0.4795 0.5822 (multiplicity 4)  3 Ho 3.23-3.55, 2 Dy 3.39, 1 Sc 3.47, 2 Y 3.56
7 Ho 0.0000 0.3780 0.2920 (multiplicity 4)  1 Sc 3.32, 4 Y 3.34-3.63, 2 Dy 3.47
8 Ho 0.0000 0.3943 0.8923 (multiplicity 4)  4 Y 3.08-3.42, 1 Sc 3.31
9 Sc 0.0000 0.3137 0.6014 (multiplicity 4)  6 Y 3.30-3.62, 2 Ho 3.31-3.32, 2 Dy 3.41

Values from the calculation:
**Formation energy**: 161 meV/atom
**Density of states at the Fermi level**: 63.65 states/eV per cell
**Size of the total moment**: 0.0 μB per cell



# 2
## DyY2Ho5Sc (PBE)

Data for DyY2Ho5Sc after structural relaxation.

Cell lengths 5.5337, 19.6834, 10.3574 Å; angles 90.00, 90.00, 90.00 degrees
Last column: nearest neighbours and their distance in Å.
Space group Cmc2_1 (No. 36)
Inequivalent atoms, fractional coordinates:
1 Dy 0.0000 0.0892 0.0000 (multiplicity 4)  5 Ho 2.99-3.24
2 Y 0.0000 0.3867 0.2784 (multiplicity 4)  1 Sc 3.32, 7 Ho 3.44-3.68, 2 Dy 3.63
3 Y 0.0000 0.3888 0.8567 (multiplicity 4)  9 Ho 3.27-3.55, 1 Sc 3.53
4 Ho 0.0000 0.0182 0.2821 (multiplicity 4)  2 Dy 3.09-3.24, 2 Y 3.41
5 Ho 0.0000 0.1207 0.5632 (multiplicity 4)  4 Y 3.50-3.56, 6 Ho 3.54-3.90, 1 Sc 3.60
6 Ho 0.0000 0.2005 0.2471 (multiplicity 4)  4 Ho 3.37-3.63, 1 Dy 3.37, 2 Sc 3.40, 3 Y 3.47-3.68
7 Ho 0.0000 0.2227 0.8614 (multiplicity 4)  1 Dy 2.99, 1 Y 3.27
8 Ho 0.0000 0.4809 0.5615 (multiplicity 4)  2 Dy 3.16, 3 Y 3.33-3.47, 1 Sc 3.49
9 Sc 0.0000 0.3034 0.5568 (multiplicity 4)  2 Y 3.32-3.53, 7 Ho 3.40-3.60, 2 Dy 3.53

Values from the calculation:
**Formation energy**: 167 meV/atom
**Density of states at the Fermi level**: 60.20 states/eV per cell
**Size of the total moment**: 0.0 μB per cell



# 3
## Dy2Y4HoSc (PBE)

Data for Dy2Y4HoSc after structural relaxation.

Cell lengths 4.9832, 4.9832, 9.9425 Å; angles 90.00, 90.00, 90.00 degrees
Last column: nearest neighbours and their distance in Å.
Space group P4/mmm (No. 123)
Inequivalent atoms, fractional coordinates:
1 Dy 0.0000 0.0000 0.0000 (multiplicity 1)  8 Y 3.49, 4 Sc 3.52
2 Dy 0.5000 0.5000 0.5000 (multiplicity 1)  4 Ho 3.52, 8 Y 3.55
3 Y 0.0000 0.5000 0.2458 (multiplicity 4)  4 Dy 3.49-3.55, 2 Sc 3.49, 4 Y 3.52, 2 Ho 3.55
4 Ho 0.0000 0.0000 0.5000 (multiplicity 1)  4 Dy 3.52, 8 Y 3.55
5 Sc 0.5000 0.5000 0.0000 (multiplicity 1)  8 Y 3.49, 4 Dy 3.52

Values from the calculation:
**Formation energy**: 34 meV/atom
**Density of states at the Fermi level**: 12.38 states/eV per cell
**Size of the total moment**: 0.0 μB per cell



# 4
## Dy6Y2HoSc3 (PBE)

Data for Dy6Y2HoSc3 after structural relaxation.

Cell lengths 6.0435, 10.4587, 11.4522 Å; angles 90.00, 100.11, 90.00 degrees
Last column: nearest neighbours and their distance in Å.
Space group C2/m (No. 12)
Inequivalent atoms, fractional coordinates:
1 Dy 0.2460 0.0000 0.2405 (multiplicity 4)  3 Sc 3.38, 6 Dy 3.48-3.49, 1 Ho 3.55, 2 Y 3.55
2 Dy 0.2470 0.3337 0.2403 (multiplicity 8)  3 Sc 3.37-3.38, 6 Dy 3.48-3.49, 1 Ho 3.55, 2 Y 3.55
3 Y 0.0000 0.3333 0.5000 (multiplicity 4)  3 Ho 3.49, 3 Y 3.49, 6 Dy 3.55
4 Ho 0.0000 0.0000 0.5000 (multiplicity 2)  6 Y 3.49, 6 Dy 3.55
5 Sc 0.0000 0.1666 0.0000 (multiplicity 4)  6 Dy 3.37-3.38, 6 Sc 3.48-3.49
6 Sc 0.0000 0.5000 0.0000 (multiplicity 2)  6 Dy 3.37-3.38, 6 Sc 3.49

Values from the calculation:
**Formation energy**: 46 meV/atom
**Density of states at the Fermi level**: 35.81 states/eV per cell
**Size of the total moment**: 0.0 μB per cell



# 5
## Dy2YHoSc (PBE)

Data for Dy2YHoSc after structural relaxation.

Cell lengths 8.1238, 11.2084, 7.0640 Å; angles 90.00, 90.00, 90.00 degrees
Last column: nearest neighbours and their distance in Å.
Space group Cmcm (No. 63)
Inequivalent atoms, fractional coordinates:
1 Dy 0.1979 0.0000 0.0000 (multiplicity 8)  2 Sc 3.03, 1 Dy 3.22
2 Y 0.0000 0.2378 0.2500 (multiplicity 4)  1 Sc 3.05
3 Ho 0.0000 0.2241 0.7500 (multiplicity 4)  1 Sc 2.98
4 Sc 0.0000 0.4899 0.7500 (multiplicity 4)  1 Ho 2.98, 4 Dy 3.03, 1 Y 3.05

Values from the calculation:
**Formation energy**: 353 meV/atom
**Density of states at the Fermi level**: 27.63 states/eV per cell
**Size of the total moment**: 0.0 μB per cell



# 6
## Dy4Y2HoSc (PBE)

Data for Dy4Y2HoSc after structural relaxation.

Cell lengths 4.9702, 4.9702, 9.9193 Å; angles 90.00, 90.00, 90.00 degrees
Last column: nearest neighbours and their distance in Å.
Space group P4/mmm (No. 123)
Inequivalent atoms, fractional coordinates:
1 Dy 0.0000 0.5000 0.2455 (multiplicity 4)  2 Sc 3.48, 4 Y 3.48-3.54, 4 Dy 3.51, 2 Ho 3.54
2 Y 0.0000 0.0000 0.0000 (multiplicity 1)  8 Dy 3.48, 4 Sc 3.51
3 Y 0.5000 0.5000 0.5000 (multiplicity 1)  4 Ho 3.51, 8 Dy 3.54
4 Ho 0.0000 0.0000 0.5000 (multiplicity 1)  4 Y 3.51, 8 Dy 3.54
5 Sc 0.5000 0.5000 0.0000 (multiplicity 1)  8 Dy 3.48, 4 Y 3.51

Values from the calculation:
**Formation energy**: 35 meV/atom
**Density of states at the Fermi level**: 12.05 states/eV per cell
**Size of the total moment**: 0.0 μB per cell